An optimized crystal structure of SmDyAu5, computed with GGA-PBE.

```
SmDyAu5
1.0
5.2280 -0.3278 -0.9373
-0.9508 5.1513 -0.9373
-0.1476 -0.1665 11.4729
Sm Dy Au
2 2 10
Direct
0.0000 0.0000 0.0000
0.0000 0.0000 0.5000
0.5621 0.4379 0.2500
0.4379 0.5621 0.7500
0.0420 0.5555 0.1513
0.7564 0.4707 0.5396
0.5555 0.0420 0.6513
0.9264 0.0736 0.2500
0.5293 0.2436 0.9604
0.4707 0.7564 0.0396
0.0736 0.9264 0.7500
0.4445 0.9580 0.3487
0.2436 0.5293 0.4604
0.9580 0.4445 0.8487
```

Calculated values
ΔE_f (kJ per mole of atoms): -62.3
Space group: No. 15